Entry 1:
# GGA-PBE BaLi2Ag6, optimized geometry
data_BaLi2Ag6
_symmetry_space_group_name_H-M 'I m m m'
_symmetry_Int_Tables_number 71
_symmetry_space_group_name_Hall '-I 2 2'
_cell_length_a 3.843
_cell_length_b 8.079
_cell_length_c 13.489
_cell_angle_alpha 90.00
_cell_angle_beta 90.00
_cell_angle_gamma 90.00
loop_
_atom_site_label
_atom_site_type_symbol
_atom_site_fract_x
_atom_site_fract_y
_atom_site_fract_z
_atom_site_occupancy
Ba1 Ba 0.000 0.000 0.000 1
Li1 Li 0.000 0.500 0.133 1
Ag1 Ag 0.000 0.165 0.500 1
Ag2 Ag 0.000 0.319 0.314 1
# uncorrected energy = -2.58 eV per atom
# ΔH_f (0 K) = -0.036 eV per atom
# N(E_F) = 0.30 states/eV per atom

***

Entry 2:
# GGA-PBE ScTcB, optimized geometry
data_ScTcB
_symmetry_space_group_name_H-M 'P 1 21/m 1'
_symmetry_Int_Tables_number 11
_cell_length_a 4.449
_cell_length_b 3.106
_cell_length_c 6.187
_cell_angle_alpha 90.00
_cell_angle_beta 99.63
_cell_angle_gamma 90.00
loop_
_symmetry_equiv_pos_as_xyz
'x,y,z'
'-x,-y,-z'
'-x,y+1/2,-z'
'x,-y+1/2,z'
loop_
_atom_site_label
_atom_site_type_symbol
_atom_site_fract_x
_atom_site_fract_y
_atom_site_fract_z
_atom_site_occupancy
Sc1 Sc 0.216 0.250 0.349 1
Tc1 Tc 0.336 0.250 0.854 1
B1 B 0.121 0.750 0.029 1
# uncorrected energy = -8.29 eV per atom
# ΔH_f (0 K) = -0.501 eV per atom
# energy above the lowest structure with this stoichiometry = 0.000 eV per atom
# N(E_F) = 0.52 states/eV per atom

***

Entry 3:
# GGA-PBE Ag2Bi2Pb, optimized geometry
data_Ag2Bi2Pb
_symmetry_space_group_name_H-M 'P 4/m b m'
_symmetry_Int_Tables_number 127
_symmetry_space_group_name_Hall '-P 4 2ab'
_cell_length_a 8.677
_cell_length_b 8.677
_cell_length_c 3.514
_cell_angle_alpha 90.00
_cell_angle_beta 90.00
_cell_angle_gamma 90.00
loop_
_atom_site_label
_atom_site_type_symbol
_atom_site_fract_x
_atom_site_fract_y
_atom_site_fract_z
_atom_site_occupancy
Ag1 Ag 0.121 0.379 0.000 1
Bi1 Bi 0.174 0.674 0.500 1
Pb1 Pb 0.000 0.000 0.000 1
# uncorrected energy = -3.34 eV per atom
# ΔH_f (0 K) = 0.097 eV per atom
# energy above the lowest structure with this stoichiometry = 0.000 eV per atom
# N(E_F) = 0.59 states/eV per atom

***

Entry 4:
# GGA-PBE LaPr3Sm, optimized geometry
data_LaPr3Sm
_symmetry_space_group_name_H-M 'C 1 2/m 1'
_symmetry_Int_Tables_number 12
_cell_length_a 11.964
_cell_length_b 7.246
_cell_length_c 8.899
_cell_angle_alpha 90.00
_cell_angle_beta 109.60
_cell_angle_gamma 90.00
loop_
_symmetry_equiv_pos_as_xyz
'x,y,z'
'-x,-y,-z'
'-x,y,-z'
'x,-y,z'
'x+1/2,y+1/2,z'
'-x+1/2,-y+1/2,-z'
'-x+1/2,y+1/2,-z'
'x+1/2,-y+1/2,z'
loop_
_atom_site_label
_atom_site_type_symbol
_atom_site_fract_x
_atom_site_fract_y
_atom_site_fract_z
_atom_site_occupancy
La1 La 0.056 0.000 0.222 1
Pr1 Pr 0.154 0.250 0.615 1
Pr2 Pr 0.249 0.500 0.000 1
Sm1 Sm 0.057 0.500 0.226 1
# uncorrected energy = -4.68 eV per atom
# ΔH_f (0 K) = 0.112 eV per atom
# energy above the lowest structure with this stoichiometry = 0.000 eV per atom
# N(E_F) = 1.68 states/eV per atom

***

Entry 5:
# GGA-PBE Er4Ga5Si2, optimized geometry
data_Er4Ga5Si2
_symmetry_space_group_name_H-M 'P 1 2/m 1'
_symmetry_Int_Tables_number 10
_cell_length_a 6.929
_cell_length_b 4.167
_cell_length_c 7.895
_cell_angle_alpha 90.00
_cell_angle_beta 90.99
_cell_angle_gamma 90.00
loop_
_symmetry_equiv_pos_as_xyz
'x,y,z'
'-x,-y,-z'
'-x,y,-z'
'x,-y,z'
loop_
_atom_site_label
_atom_site_type_symbol
_atom_site_fract_x
_atom_site_fract_y
_atom_site_fract_z
_atom_site_occupancy
Er1 Er 0.219 0.000 0.364 1
Er2 Er 0.242 0.000 0.894 1
Ga1 Ga 0.128 0.500 0.623 1
Ga2 Ga 0.446 0.500 0.158 1
Ga3 Ga 0.500 0.500 0.500 1
Si1 Si 0.083 0.500 0.129 1
# uncorrected energy = -4.64 eV per atom
# formation energy (no corrections) = -0.62 eV per atom
# N(E_F) = 0.66 states/eV per atom

***

Entry 6:
# GGA-PBE Pm4Er3Se8, optimized geometry
data_Pm4Er3Se8
_symmetry_space_group_name_H-M 'R -3 m'
_symmetry_Int_Tables_number 166
_symmetry_space_group_name_Hall '-R 3 2"'
_cell_length_a 8.0930
_cell_length_b 8.0930
_cell_length_c 22.8613
_cell_angle_alpha 90.00
_cell_angle_beta 90.00
_cell_angle_gamma 120.00
loop_
_atom_site_label
_atom_site_type_symbol
_atom_site_fract_x
_atom_site_fract_y
_atom_site_fract_z
_atom_site_occupancy
Pm1 Pm 0.0000 0.0000 0.0000 1
Pm2 Pm 0.0000 0.0000 0.1461 1
Pm3 Pm 0.0000 0.0000 0.5000 1
Er1 Er 0.0000 0.5000 0.0000 1
Se1 Se 0.0000 0.0000 0.2689 1
Se2 Se 0.0096 0.5048 0.2550 1
# uncorrected energy = -5.65 eV per atom
# formation energy (no corrections) = -1.62 eV per atom
# energy above the lowest structure with this stoichiometry = 0.212 eV per atom
# N(E_F) = 0.47 states/eV per atom

***

Entry 7:
# GGA-PBE Pr6Te3PPb2, optimized geometry
data_Pr6Te3PPb2
_symmetry_space_group_name_H-M 'C 1 2/m 1'
_symmetry_Int_Tables_number 12
_cell_length_a 19.708
_cell_length_b 4.494
_cell_length_c 9.085
_cell_angle_alpha 90.00
_cell_angle_beta 103.61
_cell_angle_gamma 90.00
loop_
_symmetry_equiv_pos_as_xyz
'x,y,z'
'-x,-y,-z'
'-x,y,-z'
'x,-y,z'
'x+1/2,y+1/2,z'
'-x+1/2,-y+1/2,-z'
'-x+1/2,y+1/2,-z'
'x+1/2,-y+1/2,z'
loop_
_atom_site_label
_atom_site_type_symbol
_atom_site_fract_x
_atom_site_fract_y
_atom_site_fract_z
_atom_site_occupancy
Pr1 Pr 0.000 0.000 0.225 1
Pr2 Pr 0.156 0.500 0.080 1
Pr3 Pr 0.167 0.500 0.579 1
Te1 Te 0.000 0.500 0.500 1
Te2 Te 0.169 0.000 0.835 1
P1 P 0.000 0.500 0.000 1
Pb1 Pb 0.166 0.000 0.331 1
# uncorrected energy = -5.44 eV per atom
# formation energy (no corrections) = -1.19 eV per atom
# N(E_F) = 0.26 states/eV per atom

***

Entry 8:
# GGA-PBE SbSCl2, optimized geometry
data_SbSCl2
_symmetry_space_group_name_H-M 'R -3 m'
_symmetry_Int_Tables_number 166
_symmetry_space_group_name_Hall '-R 3 2"'
_cell_length_a 3.4756
_cell_length_b 3.4756
_cell_length_c 29.6965
_cell_angle_alpha 90.00
_cell_angle_beta 90.00
_cell_angle_gamma 120.00
loop_
_atom_site_label
_atom_site_type_symbol
_atom_site_fract_x
_atom_site_fract_y
_atom_site_fract_z
_atom_site_occupancy
Sb1 Sb 0.0000 0.0000 0.0000 1
S1 S 0.0000 0.0000 0.5000 1
Cl1 Cl 0.0000 0.0000 0.0838 1
# uncorrected energy = -2.63 eV per atom
# formation energy (no corrections) = 0.36 eV per atom
# energy above the lowest structure with this stoichiometry = 0.734 eV per atom
# N(E_F) = 0.43 states/eV per atom

***

Entry 9:
# GGA-PBE MnNbRh, optimized geometry
data_MnNbRh
_symmetry_space_group_name_H-M 'C 1 m 1'
_symmetry_Int_Tables_number 8
_cell_length_a 8.786
_cell_length_b 3.863
_cell_length_c 5.507
_cell_angle_alpha 90.00
_cell_angle_beta 108.16
_cell_angle_gamma 90.00
loop_
_symmetry_equiv_pos_as_xyz
'x,y,z'
'x,-y,z'
'x+1/2,y+1/2,z'
'x+1/2,-y+1/2,z'
loop_
_atom_site_label
_atom_site_type_symbol
_atom_site_fract_x
_atom_site_fract_y
_atom_site_fract_z
_atom_site_occupancy
Mn1 Mn 0.000 0.000 0.000 1
Mn2 Mn 0.173 0.500 0.843 1
Nb1 Nb 0.022 0.000 0.528 1
Nb2 Nb 0.323 0.000 0.153 1
Rh1 Rh 0.170 0.500 0.334 1
Rh2 Rh 0.347 0.000 0.682 1
# uncorrected energy = -9.06 eV per atom
# ΔH_f (0 K) = -0.192 eV per atom
# N(E_F) = 0.91 states/eV per atom

***

Entry 10:
# GGA-PBE LiErPuSi, optimized geometry
data_LiErPuSi
_symmetry_space_group_name_H-M 'F -4 3 m'
_symmetry_Int_Tables_number 216
_symmetry_space_group_name_Hall 'F -4 2 3'
_cell_length_a 7.014
_cell_length_b 7.014
_cell_length_c 7.014
_cell_angle_alpha 90.00
_cell_angle_beta 90.00
_cell_angle_gamma 90.00
loop_
_atom_site_label
_atom_site_type_symbol
_atom_site_fract_x
_atom_site_fract_y
_atom_site_fract_z
_atom_site_occupancy
Li1 Li 0.000 0.000 0.000 1
Er1 Er 0.250 0.250 0.250 1
Pu1 Pu 0.250 0.250 0.750 1
Si1 Si 0.000 0.000 0.500 1
# uncorrected energy = -6.74 eV per atom
# formation energy (no corrections) = -0.18 eV per atom
# N(E_F) = 1.64 states/eV per atom

***

Entry 11:
# GGA-PBE Ta4VGa2, optimized geometry
data_Ta4VGa2
_symmetry_space_group_name_H-M 'I 4/m m m'
_symmetry_Int_Tables_number 139
_symmetry_space_group_name_Hall '-I 4 2'
_cell_length_a 4.432
_cell_length_b 4.432
_cell_length_c 14.185
_cell_angle_alpha 90.00
_cell_angle_beta 90.00
_cell_angle_gamma 90.00
loop_
_atom_site_label
_atom_site_type_symbol
_atom_site_fract_x
_atom_site_fract_y
_atom_site_fract_z
_atom_site_occupancy
Ta1 Ta 0.000 0.000 0.176 1
Ta2 Ta 0.000 0.500 0.000 1
V1 V 0.000 0.000 0.000 1
Ga1 Ga 0.000 0.000 0.363 1
# uncorrected energy = -7.97 eV per atom
# ΔH_f (0 K) = 0.969 eV per atom
# N(E_F) = 0.80 states/eV per atom

***

Entry 12:
# GGA-PBE Dy3HoPt3, optimized geometry
data_Dy3HoPt3
_symmetry_space_group_name_H-M 'C 1 2/m 1'
_symmetry_Int_Tables_number 12
_cell_length_a 9.178
_cell_length_b 10.439
_cell_length_c 7.091
_cell_angle_alpha 90.00
_cell_angle_beta 91.29
_cell_angle_gamma 90.00
loop_
_symmetry_equiv_pos_as_xyz
'x,y,z'
'-x,-y,-z'
'-x,y,-z'
'x,-y,z'
'x+1/2,y+1/2,z'
'-x+1/2,-y+1/2,-z'
'-x+1/2,y+1/2,-z'
'x+1/2,-y+1/2,z'
loop_
_atom_site_label
_atom_site_type_symbol
_atom_site_fract_x
_atom_site_fract_y
_atom_site_fract_z
_atom_site_occupancy
Dy1 Dy 0.000 0.176 0.000 1
Dy2 Dy 0.000 0.248 0.500 1
Dy3 Dy 0.166 0.500 0.880 1
Ho1 Ho 0.240 0.500 0.386 1
Pt1 Pt 0.060 0.000 0.306 1
Pt2 Pt 0.242 0.262 0.218 1
# uncorrected energy = -6.24 eV per atom
# ΔH_f (0 K) = -1.023 eV per atom
# N(E_F) = 0.65 states/eV per atom

***

Entry 13:
# GGA-PBE Sc6Ga2Bi, optimized geometry
data_Sc6Ga2Bi
_symmetry_space_group_name_H-M 'I m m m'
_symmetry_Int_Tables_number 71
_symmetry_space_group_name_Hall '-I 2 2'
_cell_length_a 8.948
_cell_length_b 8.956
_cell_length_c 10.201
_cell_angle_alpha 90.00
_cell_angle_beta 90.00
_cell_angle_gamma 90.00
loop_
_atom_site_label
_atom_site_type_symbol
_atom_site_fract_x
_atom_site_fract_y
_atom_site_fract_z
_atom_site_occupancy
Sc1 Sc 0.000 0.208 0.243 1
Sc2 Sc 0.200 0.500 0.180 1
Sc3 Sc 0.216 0.310 0.500 1
Ga1 Ga 0.000 0.352 0.000 1
Ga2 Ga 0.000 0.500 0.378 1
Bi1 Bi 0.000 0.000 0.000 1
Bi2 Bi 0.000 0.000 0.500 1
# uncorrected energy = -5.76 eV per atom
# ΔH_f (0 K) = -0.437 eV per atom
# N(E_F) = 1.20 states/eV per atom

***

Entry 14:
# GGA-PBE TbCe2Ru, optimized geometry
data_TbCe2Ru
_symmetry_space_group_name_H-M 'R 3 m'
_symmetry_Int_Tables_number 160
_symmetry_space_group_name_Hall 'R 3 -2"'
_cell_length_a 3.8401
_cell_length_b 3.8401
_cell_length_c 26.5473
_cell_angle_alpha 90.00
_cell_angle_beta 90.00
_cell_angle_gamma 120.00
loop_
_atom_site_label
_atom_site_type_symbol
_atom_site_fract_x
_atom_site_fract_y
_atom_site_fract_z
_atom_site_occupancy
Tb1 Tb 0.0000 0.0000 0.0000 1
Ce1 Ce 0.0000 0.0000 0.2279 1
Ce2 Ce 0.0000 0.0000 0.4388 1
Ru1 Ru 0.0000 0.0000 0.8344 1
# uncorrected energy = -6.51 eV per atom
# ΔH_f (0 K) = -0.065 eV per atom
# energy above the lowest structure with this stoichiometry = 0.163 eV per atom
# N(E_F) = 2.34 states/eV per atom

***

Entry 15:
# GGA-PBE ThSc3Fe, optimized geometry
data_ThSc3Fe
_symmetry_space_group_name_H-M 'P m -3 m'
_symmetry_Int_Tables_number 221
_symmetry_space_group_name_Hall '-P 4 2 3'
_cell_length_a 4.925
_cell_length_b 4.925
_cell_length_c 4.925
_cell_angle_alpha 90.00
_cell_angle_beta 90.00
_cell_angle_gamma 90.00
loop_
_atom_site_label
_atom_site_type_symbol
_atom_site_fract_x
_atom_site_fract_y
_atom_site_fract_z
_atom_site_occupancy
Th1 Th 0.000 0.000 0.000 1
Sc1 Sc 0.000 0.500 0.500 1
Fe1 Fe 0.500 0.500 0.500 1
# uncorrected energy = -6.92 eV per atom
# ΔH_f (0 K) = 0.060 eV per atom
# N(E_F) = 1.13 states/eV per atom

***

Entry 16:
# GGA-PBE LiLaSb2, optimized geometry
data_LiLaSb2
_symmetry_space_group_name_H-M 'I -4 2 d'
_symmetry_Int_Tables_number 122
_symmetry_space_group_name_Hall 'I -4 2bw'
_cell_length_a 5.388
_cell_length_b 5.388
_cell_length_c 17.577
_cell_angle_alpha 90.00
_cell_angle_beta 90.00
_cell_angle_gamma 90.00
loop_
_atom_site_label
_atom_site_type_symbol
_atom_site_fract_x
_atom_site_fract_y
_atom_site_fract_z
_atom_site_occupancy
Li1 Li 0.000 0.000 0.000 1
La1 La 0.000 0.000 0.500 1
Sb1 Sb 0.130 0.250 0.125 1
# uncorrected energy = -4.24 eV per atom
# formation energy (no corrections) = -0.47 eV per atom
# energy above the lowest structure with this stoichiometry = 0.442 eV per atom
# N(E_F) = 0.77 states/eV per atom

***

Entry 17:
# GGA-PBE TcGe2Ir2, optimized geometry
data_TcGe2Ir2
_symmetry_space_group_name_H-M 'P 4/m b m'
_symmetry_Int_Tables_number 127
_symmetry_space_group_name_Hall '-P 4 2ab'
_cell_length_a 7.271
_cell_length_b 7.271
_cell_length_c 2.821
_cell_angle_alpha 90.00
_cell_angle_beta 90.00
_cell_angle_gamma 90.00
loop_
_atom_site_label
_atom_site_type_symbol
_atom_site_fract_x
_atom_site_fract_y
_atom_site_fract_z
_atom_site_occupancy
Tc1 Tc 0.000 0.000 0.000 1
Ge1 Ge 0.153 0.347 0.000 1
Ir1 Ir 0.148 0.648 0.500 1
# uncorrected energy = -7.43 eV per atom
# ΔH_f (0 K) = 0.037 eV per atom
# N(E_F) = 0.49 states/eV per atom

***

Entry 18:
# GGA-PBE LiTcP, optimized geometry
data_LiTcP
_symmetry_space_group_name_H-M 'P m n 21'
_symmetry_Int_Tables_number 31
_cell_length_a 3.162
_cell_length_b 6.416
_cell_length_c 4.459
_cell_angle_alpha 90.00
_cell_angle_beta 90.00
_cell_angle_gamma 90.00
loop_
_symmetry_equiv_pos_as_xyz
'x,y,z'
'-x+1/2,-y,z+1/2'
'-x,y,z'
'x+1/2,-y,z+1/2'
loop_
_atom_site_label
_atom_site_type_symbol
_atom_site_fract_x
_atom_site_fract_y
_atom_site_fract_z
_atom_site_occupancy
Li1 Li 0.000 0.092 0.000 1
Tc1 Tc 0.000 0.559 0.344 1
P1 P 0.000 0.712 0.851 1
# uncorrected energy = -6.35 eV per atom
# ΔH_f (0 K) = -0.454 eV per atom
# energy above the lowest structure with this stoichiometry = 0.083 eV per atom
# N(E_F) = 0.59 states/eV per atom

***

Entry 19:
# GGA-PBE ErTm4Cd5, optimized geometry
data_ErTm4Cd5
_symmetry_space_group_name_H-M 'P 4/m m m'
_symmetry_Int_Tables_number 123
_symmetry_space_group_name_Hall '-P 4 2'
_cell_length_a 3.696
_cell_length_b 3.696
_cell_length_c 18.534
_cell_angle_alpha 90.00
_cell_angle_beta 90.00
_cell_angle_gamma 90.00
loop_
_atom_site_label
_atom_site_type_symbol
_atom_site_fract_x
_atom_site_fract_y
_atom_site_fract_z
_atom_site_occupancy
Er1 Er 0.000 0.000 0.000 1
Tm1 Tm 0.000 0.000 0.201 1
Tm2 Tm 0.000 0.000 0.400 1
Cd1 Cd 0.500 0.500 0.101 1
Cd2 Cd 0.500 0.500 0.300 1
Cd3 Cd 0.500 0.500 0.500 1
# uncorrected energy = -3.01 eV per atom
# ΔH_f (0 K) = -0.313 eV per atom
# N(E_F) = 0.83 states/eV per atom

***

Entry 20:
# GGA-PBE LiGa3Cl, optimized geometry
data_LiGa3Cl
_symmetry_space_group_name_H-M 'P m -3 m'
_symmetry_Int_Tables_number 221
_symmetry_space_group_name_Hall '-P 4 2 3'
_cell_length_a 4.809
_cell_length_b 4.809
_cell_length_c 4.809
_cell_angle_alpha 90.00
_cell_angle_beta 90.00
_cell_angle_gamma 90.00
loop_
_atom_site_label
_atom_site_type_symbol
_atom_site_fract_x
_atom_site_fract_y
_atom_site_fract_z
_atom_site_occupancy
Li1 Li 0.000 0.000 0.000 1
Ga1 Ga 0.000 0.000 0.500 1
Cl1 Cl 0.500 0.500 0.500 1
# uncorrected energy = -2.55 eV per atom
# formation energy (no corrections) = 0.02 eV per atom
# energy above the lowest structure with this stoichiometry = 0.000 eV per atom
# N(E_F) = 0.40 states/eV per atom